Arrangement a

Compound: VCuTc
Source: the Alexandria database
Functional: PBE
Structure: relaxed

The space group is I4mm (No. 107) and the conventional cell measures 2.499, 2.499 and 14.141 Å, with angles of 90.00, 90.00 and 90.00 degrees. The asymmetric unit holds V at (0.000, 0.000, 0.000), Cu at (0.000, 0.000, 0.824) and Tc at (0.000, 0.000, 0.174).

The calculation puts the total moment at 0.00 μB per cell. For the calculated volume, the calculation gives 88.31 Å³ per cell.

=====

Arrangement b

Compound: VCuTc
Source: the Alexandria database
Functional: PBE
Structure: relaxed

The space group is P3m1 (No. 156) and the conventional cell measures 4.2931, 4.2931 and 2.5156 Å, with angles of 90.00, 90.00 and 120.00 degrees. The asymmetric unit holds V at (0.0000, 0.0000, 0.0000), Cu at (0.3333, 0.6667, 0.6904) and Tc at (0.6667, 0.3333, 0.2949).

The calculation puts the total moment at 0.00 μB per cell. For the calculated volume, the calculation gives 40.15 Å³ per cell.

=====

Arrangement c

Compound: VCuTc
Source: the Alexandria database
Functional: PBE
Structure: relaxed

The space group is C2/m (No. 12) and the conventional cell measures 8.739, 2.530 and 8.271 Å, with angles of 90.00, 117.67 and 90.00 degrees. The asymmetric unit holds V at (0.168, 0.000, 0.094), Cu at (0.166, 0.000, 0.572) and Tc at (0.015, 0.500, 0.753).

The calculation puts the total moment at 0.00 μB per cell. For the calculated volume, the calculation gives 161.97 Å³ per cell.

=====

It comes down to arrangement b, which is 4.8 kJ/mol of atoms more stable than the next structure.

=====

Arrangement a

Compound: VCuTc2
Source: the Alexandria database
Functional: PBE
Structure: relaxed

The space group is Fm-3m (No. 225) and the conventional cell measures 6.020, 6.020 and 6.020 Å, with angles of 90.00, 90.00 and 90.00 degrees. The asymmetric unit holds V at (0.000, 0.000, 0.000), Cu at (0.000, 0.000, 0.500) and Tc at (0.250, 0.250, 0.250).

The calculation puts the total moment at 0.00 μB per cell. For the calculated volume, the calculation gives 218.21 Å³ per cell.

=====

Arrangement b

Compound: VCuTc2
Source: the Alexandria database
Functional: PBE
Structure: relaxed

The space group is I-42d (No. 122) and the conventional cell measures 3.650, 3.650 and 18.046 Å, with angles of 90.00, 90.00 and 90.00 degrees. The asymmetric unit holds V at (0.000, 0.000, 0.000), Cu at (0.000, 0.000, 0.500) and Tc at (0.230, 0.250, 0.625).

The calculation puts the total moment at 5.94 μB per cell. For the calculated volume, the calculation gives 240.39 Å³ per cell.

=====

Arrangement c

Compound: VCuTc2
Source: the Alexandria database
Functional: PBE
Structure: relaxed

The space group is P4/mmm (No. 123) and the conventional cell measures 3.810, 3.810 and 3.733 Å, with angles of 90.00, 90.00 and 90.00 degrees. The asymmetric unit holds V at (0.000, 0.000, 0.000), Cu at (0.500, 0.500, 0.000) and Tc at (0.000, 0.500, 0.500).

The calculation puts the total moment at 0.00 μB per cell. For the calculated volume, the calculation gives 54.20 Å³ per cell.

=====

It comes down to arrangement c, which is 9.8 kJ/mol of atoms more stable than the next structure.

=====

Arrangement a

Compound: V3CuTc
Source: the Alexandria database
Functional: PBE
Structure: relaxed

The space group is Pm-3m (No. 221) and the conventional cell measures 4.335, 4.335 and 4.335 Å, with angles of 90.00, 90.00 and 90.00 degrees. The asymmetric unit holds V at (0.000, 0.000, 0.500), Cu at (0.000, 0.000, 0.000) and Tc at (0.500, 0.500, 0.500).

The calculation puts the total moment at 1.85 μB per cell. For the calculated volume, the calculation gives 81.46 Å³ per cell.

=====

Arrangement b

Compound: V3CuTc
Source: the Alexandria database
Functional: PBE
Structure: relaxed

The space group is Pm-3m (No. 221) and the conventional cell measures 4.501, 4.501 and 4.501 Å, with angles of 90.00, 90.00 and 90.00 degrees. The asymmetric unit holds V at (0.000, 0.000, 0.500), Cu at (0.500, 0.500, 0.500) and Tc at (0.000, 0.000, 0.000).

The calculation puts the total moment at 0.00 μB per cell. For the calculated volume, the calculation gives 91.19 Å³ per cell.

=====

It comes down to arrangement b, which is 12.6 kJ/mol of atoms more stable than the next structure.

=====

Arrangement a

Compound: Cu2TcW
Source: the Alexandria database
Functional: PBE
Structure: relaxed

The space group is Fm-3m (No. 225) and the conventional cell measures 6.016, 6.016 and 6.016 Å, with angles of 90.00, 90.00 and 90.00 degrees. The asymmetric unit holds Cu at (0.250, 0.250, 0.250), Tc at (0.000, 0.000, 0.000) and W at (0.000, 0.000, 0.500).

The calculation puts the total moment at 0.00 μB per cell. For the calculated volume, the calculation gives 217.75 Å³ per cell.

=====

Arrangement b

Compound: Cu2TcW
Source: the Alexandria database
Functional: PBE
Structure: relaxed

The space group is P2/m (No. 10) and the conventional cell measures 2.602, 4.103 and 5.142 Å, with angles of 90.00, 90.34 and 90.00 degrees. The asymmetric unit holds Cu at (0.000, 0.000, 0.250), Tc at (0.500, 0.500, 0.000) and W at (0.500, 0.500, 0.500).

The calculation puts the total moment at 0.00 μB per cell. For the calculated volume, the calculation gives 54.90 Å³ per cell.

=====

Arrangement c

Compound: Cu2TcW
Source: the Alexandria database
Functional: PBE
Structure: relaxed

The space group is P4mm (No. 99) and the conventional cell measures 3.161, 3.161 and 5.575 Å, with angles of 90.00, 90.00 and 90.00 degrees. The asymmetric unit holds Cu at (0.000, 0.000, 0.000), Cu at (0.500, 0.500, 0.206), Tc at (0.000, 0.000, 0.486) and W at (0.500, 0.500, 0.725).

The calculation puts the total moment at 0.00 μB per cell. For the calculated volume, the calculation gives 55.72 Å³ per cell.

=====

Arrangement d

Compound: Cu2TcW
Source: the Alexandria database
Functional: PBE
Structure: relaxed

The space group is Pmm2 (No. 25) and the conventional cell measures 2.623, 3.934 and 5.398 Å, with angles of 90.00, 90.00 and 90.00 degrees. The asymmetric unit holds Cu at (0.000, 0.000, 0.000), Cu at (0.500, 0.500, 0.221), Tc at (0.000, 0.000, 0.485) and W at (0.500, 0.500, 0.736).

The calculation puts the total moment at 0.00 μB per cell. For the calculated volume, the calculation gives 55.72 Å³ per cell.

=====

It comes down to arrangement c, which is 3.8 kJ/mol of atoms more stable than the next structure.

=====

Arrangement a

Compound: Cu2TcW
Source: the Alexandria database
Functional: PBE
Structure: relaxed

The space group is P4mm (No. 99) and the conventional cell measures 2.654, 2.654 and 7.828 Å, with angles of 90.00, 90.00 and 90.00 degrees. The asymmetric unit holds Cu at (0.000, 0.000, 0.000), Cu at (0.500, 0.500, 0.222), Tc at (0.000, 0.000, 0.466) and W at (0.500, 0.500, 0.749).

The calculation puts the total moment at 0.00 μB per cell. For the calculated volume, the calculation gives 55.13 Å³ per cell.

=====

Arrangement b

Compound: Cu2TcW
Source: the Alexandria database
Functional: PBE
Structure: relaxed

The space group is Pm (No. 6) and the conventional cell measures 2.629, 4.209 and 5.055 Å, with angles of 90.00, 98.40 and 90.00 degrees. The asymmetric unit holds Cu at (0.000, 0.000, 0.000), Cu at (0.074, 0.500, 0.238), Tc at (0.645, 0.000, 0.486) and W at (0.430, 0.500, 0.752).

The calculation puts the total moment at 0.00 μB per cell. For the calculated volume, the calculation gives 55.34 Å³ per cell.

=====

It comes down to arrangement b, which is 5.9 kJ/mol of atoms more stable than the next structure.

=====

Arrangement a

Compound: Cu2TcW
Source: the Alexandria database
Functional: PBE
Structure: relaxed

The space group is R-3m (No. 166, hexagonal axes) and the conventional cell measures 2.6867, 2.6867 and 26.8938 Å, with angles of 90.00, 90.00 and 120.00 degrees. The asymmetric unit holds Cu at (0.0000, 0.0000, 0.2487), Tc at (0.0000, 0.0000, 0.5000) and W at (0.0000, 0.0000, 0.0000).

The calculation puts the total moment at 0.86 μB per cell. For the calculated volume, the calculation gives 168.12 Å³ per cell.

=====

Arrangement b

Compound: Cu2TcW
Source: the Alexandria database
Functional: PBE
Structure: relaxed

The space group is P4/mmm (No. 123) and the conventional cell measures 3.238, 3.238 and 5.224 Å, with angles of 90.00, 90.00 and 90.00 degrees. The asymmetric unit holds Cu at (0.000, 0.000, 0.248), Tc at (0.500, 0.500, 0.000) and W at (0.500, 0.500, 0.500).

The calculation puts the total moment at 0.00 μB per cell. For the calculated volume, the calculation gives 54.78 Å³ per cell.

=====

It comes down to arrangement a, which is 5.3 kJ/mol of atoms more stable than the next structure.